Entry 1:
Li2CaPrSn2: optimized geometry, GGA-PBE.

Its density of states at the Fermi level is 2.582 states/eV/f.u.

It has space group P-3m1 (No. 164), with a = 4.8422 Å, b = 4.8422 Å, c = 7.5475 Å, α = 90.00°, β = 90.00° and γ = 120.00°. The inequivalent atoms are Li at (0.3333, 0.6667, 0.2677), Ca at (0.0000, 0.0000, 0.5000), Pr at (0.0000, 0.0000, 0.0000) and Sn at (0.3333, 0.6667, 0.7596).

=====

Entry 2:
LiHgMo2: optimized geometry, GGA-PBE.

Its density of states at the Fermi level is 3.049 states/eV/f.u.

It has space group Cm (No. 8), with a = 9.230 Å, b = 2.668 Å, c = 5.451 Å, α = 90.00°, β = 92.94° and γ = 90.00°. The inequivalent atoms are Li at (0.000, 0.000, 0.000), Hg at (0.248, 0.500, 0.210), Mo at (0.244, 0.000, 0.720) and Mo at (0.486, 0.000, 0.526).

=====

| no. | total DFT energy (no corrections) (eV/atom) |
| --- | --- |
| 1 | -3.71 |
| 2 | -5.58 |